No. 1
# ZrTc3, optimized geometry, DFT GGA-PBEsol
data_ZrTc3
_chemical_formula_sum 'Zr1 Tc3'
_cell_length_a 2.754
_cell_length_b 2.754
_cell_length_c 8.681
_cell_angle_alpha 90.00
_cell_angle_beta 90.00
_cell_angle_gamma 109.89
_space_group_name_H-M_alt 'P 1'
_space_group_IT_number 1
loop_
_space_group_symop_operation_xyz
'x,y,z'
loop_
_atom_site_label
_atom_site_fract_x
_atom_site_fract_y
_atom_site_fract_z
Zr1 0.000 0.000 0.000
Tc1 0.000 0.000 0.500
Tc2 0.500 0.500 0.264
Tc3 0.500 0.500 0.736
# **Uncorrected energy**: -10.579 eV/atom
# **Magnetic moment**: 0.00 μB/cell
# **Energy of formation from the pure elements**: 0.14 eV/atom

No. 2
# Ti3ZnNi, optimized geometry, DFT GGA-PBEsol
data_Ti3ZnNi
_chemical_formula_sum 'Ti3 Zn1 Ni1'
_cell_length_a 4.461
_cell_length_b 4.461
_cell_length_c 4.461
_cell_angle_alpha 90.00
_cell_angle_beta 90.00
_cell_angle_gamma 90.00
_space_group_name_H-M_alt 'P 1'
_space_group_IT_number 1
loop_
_space_group_symop_operation_xyz
'x,y,z'
loop_
_atom_site_label
_atom_site_fract_x
_atom_site_fract_y
_atom_site_fract_z
Ti1 0.000 0.000 0.500
Ti2 0.000 0.500 0.000
Ti3 0.500 0.000 0.000
Zn1 0.500 0.500 0.500
Ni1 0.000 0.000 0.000
# **Uncorrected energy**: -6.166 eV/atom
# **Magnetic moment**: 0.00 μB/cell
# **Energy of formation from the pure elements**: 0.37 eV/atom

No. 3
# CoRe3, optimized geometry, DFT GGA-PBEsol
data_CoRe3
_chemical_formula_sum 'Co1 Re3'
_cell_length_a 2.689
_cell_length_b 2.689
_cell_length_c 7.457
_cell_angle_alpha 90.00
_cell_angle_beta 90.00
_cell_angle_gamma 90.00
_space_group_name_H-M_alt 'P 1'
_space_group_IT_number 1
loop_
_space_group_symop_operation_xyz
'x,y,z'
loop_
_atom_site_label
_atom_site_fract_x
_atom_site_fract_y
_atom_site_fract_z
Co1 0.000 0.000 0.000
Re1 0.000 0.000 0.500
Re2 0.500 0.500 0.235
Re3 0.500 0.500 0.765
# **Uncorrected energy**: -11.850 eV/atom
# **Magnetic moment**: 0.00 μB/cell
# **Energy of formation from the pure elements**: 0.08 eV/atom

No. 4
# LaYH3, optimized geometry, DFT GGA-PBEsol
data_LaYH3
_chemical_formula_sum 'La1 Y1 H3'
_cell_length_a 4.176
_cell_length_b 4.176
_cell_length_c 4.176
_cell_angle_alpha 90.00
_cell_angle_beta 90.00
_cell_angle_gamma 90.00
_space_group_name_H-M_alt 'P 1'
_space_group_IT_number 1
loop_
_space_group_symop_operation_xyz
'x,y,z'
loop_
_atom_site_label
_atom_site_fract_x
_atom_site_fract_y
_atom_site_fract_z
La1 0.000 0.000 0.000
Y1 0.500 0.500 0.500
H1 0.000 0.500 0.500
H2 0.500 0.000 0.500
H3 0.500 0.500 0.000
# **Uncorrected energy**: -4.744 eV/atom
# **Magnetic moment**: 1.34 μB/cell